{"formula": "Nd3Sb2P", "functional": "PBE", "state": "relaxed", "formation_energy_uncorrected_ev_per_atom": -1.260, "dos_ef_per_ev_atom": 0.166, "m_tot_mub_per_fu": 0.00, "crystal_system": "monoclinic", "polymorph_energy_ev_per_fu": 0.08, "cell": [[-6.7114, -3.3013, 1.2849], [2.9573, -5.0198, -4.9480], [2.6706, 0.2745, 7.1567]], "species": ["Nd", "Nd", "Nd", "Nd", "Nd", "Nd", "Sb", "Sb", "Sb", "Sb", "P", "P"], "frac_coords": [[0.0018, 0.1952, 0.3490], [0.5018, 0.3490, 0.1952], [0.0000, 0.5000, 0.0000], [0.9982, 0.8048, 0.6510], [0.5000, 0.0000, 0.5000], [0.4982, 0.6510, 0.8048], [0.2500, 0.9173, 0.0827], [0.2500, 0.2447, 0.7553], [0.7500, 0.0827, 0.9173], [0.7500, 0.7553, 0.2447], [0.2500, 0.5848, 0.4152], [0.7500, 0.4152, 0.5848]]}